1:
Material: B2HAu
Method: DFT, PBE-GGA
State: relaxed Values from VASP.

The structure in Quantum ESPRESSO input format:
```
&SYSTEM
  ibrav = 0, nat = 8, ntyp = 3
/
ATOMIC_SPECIES
H 1.01 H.upf
B 10.81 B.upf
Au 196.97 Au.upf
CELL_PARAMETERS angstrom
-2.4937 1.5247 1.8676
1.1967 -1.5497 2.8631
2.9938 4.6910 3.3888
ATOMIC_POSITIONS angstrom
H -0.6485 -0.0125 2.3653
H 1.7710 1.5644 4.3086
B -0.0373 1.5510 1.9056
B 0.5615 0.7758 3.3368
B 2.0581 3.1216 5.0311
B 0.8114 3.8837 5.9654
Au 0.0000 0.0000 0.0000
Au -0.0742 3.1016 3.8108
```

***

2:
Material: B2HAu
Method: DFT, PBE-GGA
State: relaxed Values from VASP.

The structure in Quantum ESPRESSO input format:
```
&SYSTEM
  ibrav = 0, nat = 4, ntyp = 3
/
ATOMIC_SPECIES
H 1.01 H.upf
B 10.81 B.upf
Au 196.97 Au.upf
CELL_PARAMETERS angstrom
0.0000 2.6560 2.6560
2.6560 0.0000 2.6560
2.6560 2.6560 0.0000
ATOMIC_POSITIONS angstrom
H 0.0000 0.0000 0.0000
B 1.3280 1.3280 1.3280
B 3.9839 3.9839 3.9839
Au 2.6560 2.6560 2.6560
```

***

Quick one: least stable of them? 2

***

1:
Material: HgBHIrAu
Method: DFT, PBE-GGA
State: relaxed Values from VASP.

The structure in Quantum ESPRESSO input format:
```
&SYSTEM
  ibrav = 0, nat = 10, ntyp = 5
/
ATOMIC_SPECIES
Hg 200.59 Hg.upf
B 10.81 B.upf
H 1.01 H.upf
Ir 192.22 Ir.upf
Au 196.97 Au.upf
CELL_PARAMETERS angstrom
4.5283 0.0000 0.0113
0.0000 2.8809 0.0000
-4.0199 0.0000 12.0208
ATOMIC_POSITIONS angstrom
Hg -2.9532 0.0000 9.8467
Hg -0.9432 1.4404 3.8363
B 0.6638 0.0000 0.0347
B -1.3461 1.4404 6.0451
H 1.2336 0.0000 2.5385
H -0.7763 1.4404 8.5489
Ir -1.3771 0.0000 7.5769
Ir 0.6329 1.4404 1.5665
Au 2.9429 0.0000 0.5547
Au 0.9329 1.4404 6.5651
```

***

2:
Material: HgBHIrAu
Method: DFT, PBE-GGA
State: relaxed Values from VASP.

The structure in Quantum ESPRESSO input format:
```
&SYSTEM
  ibrav = 0, nat = 5, ntyp = 5
/
ATOMIC_SPECIES
Hg 200.59 Hg.upf
B 10.81 B.upf
H 1.01 H.upf
Ir 192.22 Ir.upf
Au 196.97 Au.upf
CELL_PARAMETERS angstrom
3.6962 -0.0079 0.0507
0.0333 4.2828 -0.0233
1.5780 0.9710 5.6986
ATOMIC_POSITIONS angstrom
Hg 0.7320 0.8102 1.9735
B 2.3499 1.5170 5.4446
H 4.0595 2.9203 3.7992
Ir 4.2104 1.5093 4.6172
Au 2.3665 3.6826 4.6599
```

***

Quick one: least stable of them? 1

***

1:
Material: HgBHIrAu
Method: DFT, PBE-GGA
State: relaxed Values from VASP.

The structure in Quantum ESPRESSO input format:
```
&SYSTEM
  ibrav = 0, nat = 10, ntyp = 5
/
ATOMIC_SPECIES
Hg 200.59 Hg.upf
B 10.81 B.upf
H 1.01 H.upf
Ir 192.22 Ir.upf
Au 196.97 Au.upf
CELL_PARAMETERS angstrom
-0.0363 2.3237 -1.7589
-2.8506 0.0743 0.1570
1.1310 8.8500 16.3522
ATOMIC_POSITIONS angstrom
Hg 0.7656 7.8985 10.1670
Hg -1.2252 3.5106 2.0694
B 1.0412 10.7031 13.8455
B -0.9496 6.3153 5.7478
H 0.6319 6.5189 8.3912
H -1.3589 2.1310 0.2936
Ir 0.5356 5.5391 7.1056
Ir -0.3242 10.0012 15.3602
Au 0.3612 5.1185 4.1380
Au -0.4986 9.5807 12.3926
```

***

2:
Material: HgBHIrAu
Method: DFT, PBE-GGA
State: relaxed Values from VASP.

The structure in Quantum ESPRESSO input format:
```
&SYSTEM
  ibrav = 0, nat = 5, ntyp = 5
/
ATOMIC_SPECIES
Hg 200.59 Hg.upf
B 10.81 B.upf
H 1.01 H.upf
Ir 192.22 Ir.upf
Au 196.97 Au.upf
CELL_PARAMETERS angstrom
3.9105 0.0000 0.0000
0.0000 4.2431 0.0000
-0.0359 -1.7041 5.1449
ATOMIC_POSITIONS angstrom
Hg 1.7535 3.1380 1.3554
B 3.6836 2.6632 3.5306
H 1.7645 0.8766 0.3625
Ir 1.7287 2.6730 4.0501
Au 3.6839 0.5498 3.9945
```

***

3:
Material: HgBHIrAu
Method: DFT, PBE-GGA
State: relaxed Values from VASP.

The structure in Quantum ESPRESSO input format:
```
&SYSTEM
  ibrav = 0, nat = 10, ntyp = 5
/
ATOMIC_SPECIES
Hg 200.59 Hg.upf
B 10.81 B.upf
H 1.01 H.upf
Ir 192.22 Ir.upf
Au 196.97 Au.upf
CELL_PARAMETERS angstrom
7.6331 0.0000 0.0120
0.0000 2.9603 0.0000
-3.5561 0.0000 6.4811
ATOMIC_POSITIONS angstrom
Hg 1.0004 0.0000 2.0576
Hg -0.7776 1.4801 5.2982
B 4.8533 0.0000 3.0323
B 3.0753 1.4801 6.2729
H -1.3986 0.0000 2.7682
H -3.1767 1.4801 6.0088
Ir 5.9828 0.0000 1.0887
Ir 4.2048 1.4801 4.3292
Au 1.7283 0.0000 4.8546
Au 3.5064 1.4801 1.6141
```

***

4:
Material: HgBHIrAu
Method: DFT, PBE-GGA
State: relaxed Values from VASP.

The structure in Quantum ESPRESSO input format:
```
&SYSTEM
  ibrav = 0, nat = 5, ntyp = 5
/
ATOMIC_SPECIES
Hg 200.59 Hg.upf
B 10.81 B.upf
H 1.01 H.upf
Ir 192.22 Ir.upf
Au 196.97 Au.upf
CELL_PARAMETERS angstrom
4.3493 0.0000 0.0396
0.0000 3.5517 0.0000
-0.6895 0.0000 5.5769
ATOMIC_POSITIONS angstrom
Hg 0.0749 0.0000 3.5242
B 0.6351 0.0000 0.2006
H 1.9839 1.7758 2.0629
Ir 0.6101 1.7758 1.1913
Au 2.8045 0.0000 0.9837
```

***

Quick one: least stable of them? 2

***

1:
Material: HgBHIrAu
Method: DFT, PBE-GGA
State: relaxed Values from VASP.

The structure in Quantum ESPRESSO input format:
```
&SYSTEM
  ibrav = 0, nat = 5, ntyp = 5
/
ATOMIC_SPECIES
Hg 200.59 Hg.upf
B 10.81 B.upf
H 1.01 H.upf
Ir 192.22 Ir.upf
Au 196.97 Au.upf
CELL_PARAMETERS angstrom
2.7551 -0.0004 -0.0034
0.0005 2.9058 -0.0081
0.0037 1.3030 9.6668
ATOMIC_POSITIONS angstrom
Hg 2.1007 2.1461 6.8881
B 0.7073 2.1671 1.8800
H 0.7074 2.0125 9.5148
Ir 2.0837 0.7119 1.0180
Au 0.7174 2.1596 4.0320
```

***

2:
Material: HgBHIrAu
Method: DFT, PBE-GGA
State: relaxed Values from VASP.

The structure in Quantum ESPRESSO input format:
```
&SYSTEM
  ibrav = 0, nat = 5, ntyp = 5
/
ATOMIC_SPECIES
Hg 200.59 Hg.upf
B 10.81 B.upf
H 1.01 H.upf
Ir 192.22 Ir.upf
Au 196.97 Au.upf
CELL_PARAMETERS angstrom
-2.5052 -0.1446 1.2338
1.2753 -0.2383 2.5553
0.4859 9.5858 -0.9416
ATOMIC_POSITIONS angstrom
Hg -1.4109 6.5147 1.4074
B -1.3789 1.8606 0.9416
H -0.2360 9.2840 1.0771
Ir 0.5195 0.9256 1.5154
Au -0.7576 3.5926 2.4002
```

***

Quick one: least stable of them? 2

***

1:
Material: HfB2Au
Method: DFT, PBE-GGA
State: relaxed Values from VASP.

The structure in Quantum ESPRESSO input format:
```
&SYSTEM
  ibrav = 0, nat = 4, ntyp = 3
/
ATOMIC_SPECIES
Hf 178.49 Hf.upf
B 10.81 B.upf
Au 196.97 Au.upf
CELL_PARAMETERS angstrom
-1.6629 -0.0278 3.8232
-3.8267 -1.5433 0.5977
-0.4993 -3.6073 2.0299
ATOMIC_POSITIONS angstrom
Hf 0.0000 0.0000 0.0000
B -1.4972 -1.2946 1.6127
B -4.4916 -3.8838 4.8382
Au -2.9944 -2.5892 3.2254
```

***

2:
Material: HfB2Au
Method: DFT, PBE-GGA
State: relaxed Values from VASP.

The structure in Quantum ESPRESSO input format:
```
&SYSTEM
  ibrav = 0, nat = 8, ntyp = 3
/
ATOMIC_SPECIES
Hf 178.49 Hf.upf
B 10.81 B.upf
Au 196.97 Au.upf
CELL_PARAMETERS angstrom
4.0116 0.0000 0.0000
0.0000 4.0116 0.0000
2.0058 2.0058 7.2852
ATOMIC_POSITIONS angstrom
Hf 2.0058 2.0058 0.0000
Hf 2.0058 4.0116 3.6426
B 3.6565 1.0029 1.8213
B 4.3668 3.0087 1.8213
B 3.0087 2.3610 5.4639
B 5.0145 1.6506 5.4639
Au 0.0000 0.0000 0.0000
Au 4.0116 2.0058 3.6426
```

***

Quick one: least stable of them? 1

***

1:
Material: HgBAu2
Method: DFT, PBE-GGA
State: relaxed Values from VASP.

The structure in Quantum ESPRESSO input format:
```
&SYSTEM
  ibrav = 0, nat = 4, ntyp = 3
/
ATOMIC_SPECIES
B 10.81 B.upf
Au 196.97 Au.upf
Hg 200.59 Hg.upf
CELL_PARAMETERS angstrom
-1.7983 -1.6992 3.8878
-3.8444 1.8369 1.7558
-3.9524 -2.3659 -0.1311
ATOMIC_POSITIONS angstrom
B 0.0000 0.0000 0.0000
Au -2.3988 -0.5571 1.3781
Au -7.1963 -1.6712 4.1343
Hg -4.7975 -1.1141 2.7562
```

***

2:
Material: HgBAu2
Method: DFT, PBE-GGA
State: relaxed Values from VASP.

The structure in Quantum ESPRESSO input format:
```
&SYSTEM
  ibrav = 0, nat = 8, ntyp = 3
/
ATOMIC_SPECIES
B 10.81 B.upf
Au 196.97 Au.upf
Hg 200.59 Hg.upf
CELL_PARAMETERS angstrom
-0.3684 -4.4566 -4.5817
4.6861 -3.3092 2.8421
-0.5480 -5.8695 1.2802
ATOMIC_POSITIONS angstrom
B 2.1589 -3.8829 -0.8698
B 3.1485 -6.5308 1.6263
Au 0.2552 -4.2233 -1.7327
Au 2.7092 -4.5358 1.0682
Au 1.6741 -7.6433 0.5904
Au 2.9012 -10.8683 -0.8445
Hg 0.0000 0.0000 0.0000
Hg 0.6213 -7.1045 -2.0856
```

***

Quick one: least stable of them? 1

***

1:
Material: BAu2I
Method: DFT, PBE-GGA
State: relaxed Values from VASP.

The structure in Quantum ESPRESSO input format:
```
&SYSTEM
  ibrav = 0, nat = 8, ntyp = 3
/
ATOMIC_SPECIES
I 126.90 I.upf
B 10.81 B.upf
Au 196.97 Au.upf
CELL_PARAMETERS angstrom
-0.2903 -4.6653 -3.7241
-1.1594 -3.3225 4.2525
-6.2881 1.0839 -0.8676
ATOMIC_POSITIONS angstrom
I -4.7756 0.8232 -0.6589
I -5.5005 -3.1707 -0.3947
B -2.6568 0.4579 -0.3666
B -3.3817 -3.5359 -0.1024
Au -2.2173 -1.6772 -0.1238
Au -2.9422 -5.6711 0.1404
Au -2.3625 -4.0099 -1.9859
Au -2.7970 -3.3385 2.0024
```

***

2:
Material: BAu2I
Method: DFT, PBE-GGA
State: relaxed Values from VASP.

The structure in Quantum ESPRESSO input format:
```
&SYSTEM
  ibrav = 0, nat = 4, ntyp = 3
/
ATOMIC_SPECIES
I 126.90 I.upf
B 10.81 B.upf
Au 196.97 Au.upf
CELL_PARAMETERS angstrom
-0.3219 -3.0314 -1.1329
5.1105 1.2684 -0.1962
-1.8617 -2.0316 6.4311
ATOMIC_POSITIONS angstrom
I 2.8842 -0.6986 1.0537
B 3.1595 -1.5076 3.1403
Au -0.3568 -1.5588 4.2789
Au 1.7204 -3.1771 3.3622
```

***

Quick one: least stable of them? 2

***

1:
Material: B2AuI
Method: DFT, PBE-GGA
State: relaxed Values from VASP.

The structure in Quantum ESPRESSO input format:
```
&SYSTEM
  ibrav = 0, nat = 4, ntyp = 3
/
ATOMIC_SPECIES
I 126.90 I.upf
B 10.81 B.upf
Au 196.97 Au.upf
CELL_PARAMETERS angstrom
3.2842 0.0000 -0.0008
0.0000 4.2009 0.0000
-1.3731 0.0000 5.5298
ATOMIC_POSITIONS angstrom
I 1.6421 3.3187 -0.0004
B 0.1366 2.9386 2.9547
B 1.7745 2.9386 2.5744
Au -0.6866 0.8574 2.7649
```

***

2:
Material: B2AuI
Method: DFT, PBE-GGA
State: relaxed Values from VASP.

The structure in Quantum ESPRESSO input format:
```
&SYSTEM
  ibrav = 0, nat = 4, ntyp = 3
/
ATOMIC_SPECIES
I 126.90 I.upf
B 10.81 B.upf
Au 196.97 Au.upf
CELL_PARAMETERS angstrom
1.9126 -3.1401 2.6031
-2.4461 -2.1294 3.1267
-1.0725 -4.3406 -0.5499
ATOMIC_POSITIONS angstrom
I 0.0000 0.0000 0.0000
B -0.4015 -2.4025 1.2949
B -1.2045 -7.2076 3.8848
Au -0.8030 -4.8050 2.5899
```

***

Quick one: least stable of them? 2

***

1:
Material: BAu3I
Method: DFT, PBE-GGA
State: relaxed Values from VASP.

The structure in Quantum ESPRESSO input format:
```
&SYSTEM
  ibrav = 0, nat = 5, ntyp = 3
/
ATOMIC_SPECIES
I 126.90 I.upf
B 10.81 B.upf
Au 196.97 Au.upf
CELL_PARAMETERS angstrom
-4.0215 -3.2511 1.5313
1.6186 -3.6904 -3.5844
3.2085 -2.2131 3.7275
ATOMIC_POSITIONS angstrom
I 0.0000 0.0000 0.0000
B 0.4028 -4.5773 0.8372
Au 0.8093 -1.8452 -1.7922
Au 1.6043 -1.1066 1.8638
Au -2.0107 -1.6256 0.7656
```

***

2:
Material: BAu3I
Method: DFT, PBE-GGA
State: relaxed Values from VASP.

The structure in Quantum ESPRESSO input format:
```
&SYSTEM
  ibrav = 0, nat = 5, ntyp = 3
/
ATOMIC_SPECIES
I 126.90 I.upf
B 10.81 B.upf
Au 196.97 Au.upf
CELL_PARAMETERS angstrom
4.6022 0.0000 0.0000
0.0000 4.6022 0.0000
0.0000 0.0000 4.6022
ATOMIC_POSITIONS angstrom
I 2.3011 2.3011 2.3011
B 0.0000 0.0000 0.0000
Au 0.0000 2.3011 0.0000
Au 0.0000 0.0000 2.3011
Au 2.3011 0.0000 0.0000
```

***

Quick one: least stable of them? 1

***

1:
Material: BAuI2
Method: DFT, PBE-GGA
State: relaxed Values from VASP.

The structure in Quantum ESPRESSO input format:
```
&SYSTEM
  ibrav = 0, nat = 4, ntyp = 3
/
ATOMIC_SPECIES
I 126.90 I.upf
B 10.81 B.upf
Au 196.97 Au.upf
CELL_PARAMETERS angstrom
0.0000 3.6849 3.6849
3.6849 0.0000 3.6849
3.6849 3.6849 0.0000
ATOMIC_POSITIONS angstrom
I 1.8424 1.8424 1.8424
I 5.5273 5.5273 5.5273
B 0.0000 0.0000 0.0000
Au 3.6849 3.6849 3.6849
```

***

2:
Material: BAuI2
Method: DFT, PBE-GGA
State: relaxed Values from VASP.

The structure in Quantum ESPRESSO input format:
```
&SYSTEM
  ibrav = 0, nat = 8, ntyp = 3
/
ATOMIC_SPECIES
I 126.90 I.upf
B 10.81 B.upf
Au 196.97 Au.upf
CELL_PARAMETERS angstrom
-4.3633 2.5049 3.4459
-3.9978 -0.7033 -4.5509
-5.8778 -5.4583 1.9211
ATOMIC_POSITIONS angstrom
I -4.6235 0.0713 2.0077
I -4.5862 -1.4492 -1.8759
I -7.6104 -3.4298 0.9506
I -11.6576 -2.5055 0.5498
B -4.1806 0.9008 -0.5525
B -7.0281 -2.6304 -1.5912
Au 0.0000 0.0000 0.0000
Au -7.2108 -1.0263 2.4073
```

***

Quick one: least stable of them? 1

***

1:
Material: MnBAuI
Method: DFT, PBE-GGA
State: relaxed Values from VASP.

The structure in Quantum ESPRESSO input format:
```
&SYSTEM
  ibrav = 0, nat = 4, ntyp = 4
/
ATOMIC_SPECIES
I 126.90 I.upf
B 10.81 B.upf
Mn 54.94 Mn.upf
Au 196.97 Au.upf
CELL_PARAMETERS angstrom
3.6395 0.0000 0.0000
-1.8198 3.1519 0.0000
0.0000 0.0000 6.6046
ATOMIC_POSITIONS angstrom
I 0.0000 2.1013 4.8490
B 1.8198 1.0506 1.1109
Mn 0.0000 0.0000 0.1651
Au 0.0000 2.1013 1.9116
```

***

2:
Material: MnBAuI
Method: DFT, PBE-GGA
State: relaxed Values from VASP.

The structure in Quantum ESPRESSO input format:
```
&SYSTEM
  ibrav = 0, nat = 4, ntyp = 4
/
ATOMIC_SPECIES
I 126.90 I.upf
B 10.81 B.upf
Mn 54.94 Mn.upf
Au 196.97 Au.upf
CELL_PARAMETERS angstrom
-2.5054 1.7476 -2.0480
1.4671 -1.8817 -3.4004
-2.6453 -5.4877 1.8954
ATOMIC_POSITIONS angstrom
I -3.2115 -3.6651 -1.8947
B -1.8088 -0.2043 -0.6673
Mn -2.4760 1.3622 -1.8221
Au -1.1888 -1.2156 -2.3775
```

***

Quick one: least stable of them? 2

***

1:
Material: MnBPdAuI
Method: DFT, PBE-GGA
State: relaxed Values from VASP.

The structure in Quantum ESPRESSO input format:
```
&SYSTEM
  ibrav = 0, nat = 5, ntyp = 5
/
ATOMIC_SPECIES
I 126.90 I.upf
B 10.81 B.upf
Mn 54.94 Mn.upf
Au 196.97 Au.upf
Pd 106.42 Pd.upf
CELL_PARAMETERS angstrom
3.3005 0.0698 -0.0078
1.5896 2.8936 -0.0118
0.0256 0.0313 9.7730
ATOMIC_POSITIONS angstrom
I 3.6184 1.2544 5.1626
B 1.9496 2.1762 8.9356
Mn 1.9671 0.2423 0.3106
Au 3.6026 1.2366 2.2126
Pd 3.6181 1.2557 8.0463
```

***

2:
Material: MnBPdAuI
Method: DFT, PBE-GGA
State: relaxed Values from VASP.

The structure in Quantum ESPRESSO input format:
```
&SYSTEM
  ibrav = 0, nat = 5, ntyp = 5
/
ATOMIC_SPECIES
I 126.90 I.upf
B 10.81 B.upf
Mn 54.94 Mn.upf
Au 196.97 Au.upf
Pd 106.42 Pd.upf
CELL_PARAMETERS angstrom
3.7963 -0.0005 0.0084
1.9002 3.2667 -0.3887
1.8848 -0.0467 8.5940
ATOMIC_POSITIONS angstrom
I 5.8992 1.6665 6.9221
B 2.1114 1.0743 2.2081
Mn 2.1116 0.8327 0.1738
Au 5.9095 3.2399 1.8577
Pd 2.1084 1.3128 4.1443
```

***

Quick one: least stable of them? 2